Below is a relaxed PNCl2F crystal, with properties calculated at the PBE-GGA level.

Cell lengths 5.445, 5.445, 3.611 Å; angles 90.00, 90.00, 90.00 degrees
Each line ends with the local moment (μB).
Positions (direct):
P 0.000 0.000 0.500  -0.01
N 0.500 0.500 0.500  1.82
F 0.000 0.000 0.000  0.00
Cl 0.000 0.500 0.000  -0.03
Cl 0.500 0.000 0.000  -0.03

Output
Crystal system: tetragonal
Formation energy without anion corrections (meV/atom): 1214
Calculated density (g/cm³): 2.1
E (eV/atom): -2.646